9
Lattice="-2.0544 2.8378 4.8685 2.0544 -2.8378 4.8685 2.0544 2.8378 -4.8685" Properties=species:S:1:pos:R:3 comment="TaCo2AgO5 GGA+U optimized geometry" dft_energy_ev_per_cell=-61.60 total_magnetization_mub_per_fu=6.00 vol_a3_per_fu=114 pbc="T T T"
Ta 0.0000 0.0000 0.0000
Co 2.0544 0.0000 2.2329
Co 0.0000 2.8378 2.6356
Ag 0.0000 0.0000 4.8685
O 2.0544 0.0000 0.0000
O 2.0544 -1.4785 3.4515
O 0.0000 1.3593 1.4171
O 2.0544 1.4785 3.4515
O 0.0000 4.3163 1.4171